GdCo4B after structural relaxation. Source: OQMD, functional PBE-GGA.

Values from the calculation:
* E_tot: -6.86 eV per atom
* theoretical density: 8.95 g/cm³

Cell lengths 5.0320, 5.0320, 6.8297 Å; angles 90.00, 90.00, 120.00 degrees
Last column: nearest neighbours and their distance in Å.
Space group P6/mmm (No. 191)
Asymmetric unit:
Gd 0.0000 0.0000 0.0000 [1 per cell]  12 Co 2.90, 6 B 2.91
Gd 0.0000 0.0000 0.5000 [1 per cell]  18 Co 2.91-3.20
Co 0.0000 0.5000 0.2115 [6 per cell]  2 B 2.05
Co 0.3333 0.6667 0.5000 [2 per cell]  6 Co 2.45
B 0.3333 0.6667 0.0000 [2 per cell]  6 Co 2.05

TbDy2YPd4 after structural relaxation. Source: OQMD, functional PBE-GGA.

Values from the calculation:
* theoretical density: 9.66 g/cm³
* ΔH_f (0 K): -7.11 eV per formula unit

Cell lengths 4.9531, 4.9531, 6.9970 Å; angles 90.00, 90.00, 90.00 degrees
Last column: nearest neighbours and their distance in Å.
Space group P4/mmm (No. 123)
Asymmetric unit:
Tb 0.0000 0.0000 0.0000 [1 per cell]  8 Pd 3.03
Dy 0.0000 0.0000 0.5000 [1 per cell]  8 Pd 3.03
Dy 0.5000 0.5000 0.0000 [1 per cell]  8 Pd 3.03
Y 0.5000 0.5000 0.5000 [1 per cell]  8 Pd 3.03
Pd 0.0000 0.5000 0.2498 [4 per cell]  2 Tb 3.03, 4 Dy 3.03, 2 Y 3.03

Y4Pd after structural relaxation. Source: OQMD, functional PBE-GGA.

Values from the calculation:
* theoretical density: 5.71 g/cm³
* ΔH_f (0 K): 0.01 eV per formula unit

Cell lengths 7.5624, 7.5624, 4.6993 Å; angles 90.00, 90.00, 90.00 degrees
Last column: nearest neighbours and their distance in Å.
Space group P4/mbm (No. 127)
Asymmetric unit:
Y 0.1521 0.3479 0.0000 [4 per cell]  2 Pd 2.87, 2 Y 3.10
Y 0.1589 0.6589 0.5000 [4 per cell]  7 Y 3.10-3.40
Pd 0.0000 0.0000 0.0000 [2 per cell]  4 Y 2.87